# KCo2CuO PBE+U relaxed
data_KCo2CuO
_space_group_name_H-M_alt 'P 4/m m m'
_space_group_IT_number 123
_space_group_name_Hall '-P 4 2'
_cell_length_a 4.825
_cell_length_b 4.825
_cell_length_c 3.954
_cell_angle_alpha 90.00
_cell_angle_beta 90.00
_cell_angle_gamma 90.00
loop_
_atom_site_label
_atom_site_type_symbol
_atom_site_fract_x
_atom_site_fract_y
_atom_site_fract_z
K1 K 0.000 0.000 0.000
Co1 Co 0.000 0.500 0.500
Cu1 Cu 0.500 0.500 0.500
O1 O 0.500 0.500 0.000
# - Uncorrected energy: -3.45 eV/atom